(1)
Compound: P2Pt
Source: Alexandria
Functional: GGA-PBE
Structure: optimized geometry

Lattice parameters (Å, degrees): 3.575 3.575 7.343 90.00 90.00 90.00
Space group I4/mmm (No. 139)
One atom of each set of equivalent atoms:
P (0.000, 0.000, 0.163) (multiplicity 4)
Pt (0.000, 0.000, 0.500) (multiplicity 2)

**VASP energy**: -15.7 eV per formula unit

***

(2)
Compound: CaPb2I2O2
Source: Alexandria
Functional: GGA-PBE
Structure: optimized geometry

Lattice parameters (Å, degrees): 4.456 4.456 19.918 90.00 90.00 90.00
Space group I4/mmm (No. 139)
One atom of each set of equivalent atoms:
Ca (0.000, 0.000, 0.000) (multiplicity 2)
Pb (0.000, 0.000, 0.418) (multiplicity 4)
I (0.000, 0.000, 0.162) (multiplicity 4)
O (0.000, 0.500, 0.000) (multiplicity 4)

**Raw formation energy**: -1.31 eV/atom
**VASP energy**: -31.6 eV per formula unit

***

(3)
Compound: La3TbTm
Source: Alexandria
Functional: GGA-PBE
Structure: optimized geometry

Lattice parameters (Å, degrees): 6.186 8.854 12.866 90.00 90.00 90.00
Space group Pnna (No. 52)
One atom of each set of equivalent atoms:
La (0.084, 0.169, 0.063) (multiplicity 8)
La (0.165, 0.250, 0.750) (multiplicity 4)
Tb (0.250, 0.000, 0.300) (multiplicity 4)
Tm (0.250, 0.000, 0.557) (multiplicity 4)

**Distance to the lowest polymorph of the same formula**: 100 meV/atom
**VASP energy**: -23.1 eV per formula unit

***

Repeat the third record exactly.
Compound: La3TbTm
Source: Alexandria
Functional: GGA-PBE
Structure: optimized geometry

Lattice parameters (Å, degrees): 6.186 8.854 12.866 90.00 90.00 90.00
Space group Pnna (No. 52)
One atom of each set of equivalent atoms:
La (0.084, 0.169, 0.063) (multiplicity 8)
La (0.165, 0.250, 0.750) (multiplicity 4)
Tb (0.250, 0.000, 0.300) (multiplicity 4)
Tm (0.250, 0.000, 0.557) (multiplicity 4)

**Distance to the lowest polymorph of the same formula**: 100 meV/atom
**VASP energy**: -23.1 eV per formula unit

***

- Which of these has the highest VASP energy?
  P2Pt

***

- Which of these has the lowest VASP energy?
  CaPb2I2O2